Record 1
ZrNb3C3 | PBE | relaxed

Spin magnetization ... 0.00 μB/f.u.
Formation energy ... -10 kJ per mole of atoms
E ... -9.596 eV per atom

extended XYZ file:
```
14
Lattice="-5.687 -0.225 3.057 -2.672 -5.704 1.438 -0.191 -1.975 6.327" Properties=species:S:1:pos:R:3 pbc="T T T"
Zr -2.736 -1.976 1.592
Zr -5.813 -5.927 9.230
Nb -4.481 -6.131 6.552
Nb -5.190 -2.237 6.932
Nb -1.865 -3.487 5.145
Nb -6.684 -4.416 5.677
Nb -3.359 -5.667 3.890
Nb -4.068 -1.773 4.270
C -3.122 -3.571 3.303
C -6.073 -2.399 4.889
C -5.491 -5.886 4.577
C -3.059 -2.018 6.244
C -2.477 -5.504 5.932
C -5.427 -4.333 7.518
```

---

Record 2
NpSiNi11 | PBE | relaxed

Spin magnetization ... 0.59 μB/f.u.
Formation energy from raw total energies ... -17 kJ/mol of atoms
E ... -6.484 eV per atom

extended XYZ file:
```
13
Lattice="4.315 -0.047 1.798 2.057 5.771 0.857 -0.059 -0.023 6.219" Properties=species:S:1:pos:R:3 pbc="T T T"
Np 0.000 0.000 0.000
Si 3.186 2.862 1.327
Ni 1.689 1.259 2.063
Ni 4.624 4.442 6.811
Ni 3.718 4.465 2.908
Ni 2.596 1.236 5.966
Ni 2.779 3.708 5.209
Ni 3.534 1.994 3.665
Ni 0.717 2.017 4.350
Ni 5.597 3.685 4.524
Ni 1.029 2.886 0.429
Ni 2.128 -0.035 4.008
Ni -0.029 -0.012 3.110
```

---

Record 3
SrTc2Ir | PBE | relaxed

Spin magnetization ... 0.43 μB/f.u.
Formation energy ... 79 kJ per mole of atoms
Relative energy among the computed polymorphs ... 10.20 kcal/mol of atoms
E ... -6.996 eV per atom

extended XYZ file:
```
4
Lattice="-0.575 -1.506 2.487 2.827 -3.592 -1.522 3.910 2.144 2.202" Properties=species:S:1:pos:R:3 pbc="T T T"
Ir 1.668 0.319 2.345
Sr 3.368 -0.724 0.340
Tc 0.000 0.000 0.000
Tc 1.126 -2.549 0.482
```

---

Record 4
Ce2ErGe3Pd4 | PBE | relaxed

Spin magnetization ... 1.70 μB/f.u.
Formation energy ... -77 kJ per mole of atoms
E ... -5.906 eV per atom

extended XYZ file:
```
10
Lattice="4.245 0.000 0.000 0.000 4.245 0.000 0.000 0.000 11.342" Properties=species:S:1:pos:R:3 pbc="T T T"
Ce 2.122 0.000 2.544
Ce 0.000 2.122 8.798
Er 2.122 2.122 5.671
Ge 0.000 0.000 5.671
Ge 2.122 0.000 9.930
Ge 0.000 2.122 1.412
Pd 2.122 2.122 0.000
Pd 0.000 0.000 0.000
Pd 2.122 0.000 7.448
Pd 0.000 2.122 3.894
```

---

Record 5
Sm3UTl4Se8 | PBE | relaxed

Spin magnetization ... 3.01 μB/f.u.
Formation energy from raw total energies ... -120 kJ/mol of atoms
E ... -5.171 eV per atom

extended XYZ file:
```
16
Lattice="8.511 0.000 0.000 0.000 9.188 0.474 -4.255 -4.252 6.018" Properties=species:S:1:pos:R:3 pbc="T T T"
Sm 4.255 4.594 0.237
Sm 2.128 2.468 3.246
Sm -2.128 2.468 3.246
U 0.000 4.594 0.237
Tl 4.255 0.000 0.000
Tl 2.128 -2.126 3.009
Tl 0.000 0.000 0.000
Tl -2.128 -2.126 3.009
Se -2.153 2.361 6.196
Se 0.000 4.512 3.151
Se 0.000 0.435 3.313
Se 2.153 2.361 6.196
Se 2.102 2.575 0.296
Se 4.255 4.501 3.179
Se 4.255 0.424 3.341
Se 6.409 2.575 0.296
```

---

Record 6
RbZrAgBr6 | PBE | relaxed

Spin magnetization ... 0.00 μB/f.u.
Formation energy from raw total energies ... -120 kJ/mol of atoms
E ... -3.729 eV per atom

extended XYZ file:
```
18
Lattice="7.347 0.000 0.000 -3.673 6.362 0.000 0.000 0.000 14.877" Properties=species:S:1:pos:R:3 pbc="T T T"
Rb 0.000 0.000 0.000
Rb 0.000 0.000 7.438
Zr 3.673 2.121 3.719
Zr 0.000 4.242 11.158
Ag 0.000 4.242 3.719
Ag 3.673 2.121 11.158
Br 2.434 3.888 2.163
Br 5.824 2.310 2.163
Br -0.911 6.199 9.601
Br -2.150 4.052 12.714
Br 1.523 2.310 5.276
Br 4.913 3.888 5.276
Br 0.911 6.199 12.714
Br 4.585 0.164 5.276
Br -1.239 2.474 9.601
Br 2.762 0.164 2.163
Br 2.150 4.052 9.601
Br 1.239 2.474 12.714
```

---

Record 7
Zr7Sc2Os2 | PBE | relaxed

Spin magnetization ... 0.00 μB/f.u.
Formation energy ... -10 kJ per mole of atoms
E ... -8.735 eV per atom

extended XYZ file:
```
11
Lattice="5.291 -0.271 0.373 -2.218 4.811 0.373 0.757 1.118 9.746" Properties=species:S:1:pos:R:3 pbc="T T T"
Zr 0.187 2.965 1.932
Zr 1.147 4.383 8.559
Zr 3.643 2.694 8.559
Zr 2.683 1.275 1.932
Zr 0.000 0.000 0.000
Zr 0.968 1.431 6.940
Zr 2.862 4.228 3.551
Sc 3.719 1.608 5.246
Sc 0.111 4.050 5.246
Os 2.657 3.926 6.269
Os 1.173 1.733 4.222
```

---

Record 8
LiTbZrTl | PBE | relaxed

Spin magnetization ... 0.00 μB/f.u.
Formation energy ... -2 kJ per mole of atoms
E ... -4.383 eV per atom

extended XYZ file:
```
4
Lattice="-3.679 0.289 -3.539 -0.033 -3.276 -3.926 -3.584 -3.637 -0.264" Properties=species:S:1:pos:R:3 pbc="T T T"
Tl 0.000 0.000 0.000
Tb -1.824 -1.656 -1.932
Zr -5.472 -4.968 -5.797
Li -3.648 -3.312 -3.865
```

---

Record 9
PrLu2Pb | PBE | relaxed

Spin magnetization ... 0.00 μB/f.u.
Formation energy ... -17 kJ per mole of atoms
Relative energy among the computed polymorphs ... 1.69 kcal/mol of atoms
E ... -4.560 eV per atom

extended XYZ file:
```
4
Lattice="-0.087 0.307 -3.655 3.241 -1.706 -0.220 -4.210 -7.924 -0.566" Properties=species:S:1:pos:R:3 pbc="T T T"
Pb 1.577 -0.699 -1.938
Pr -0.528 -4.662 -2.221
Lu -3.250 -6.119 -0.437
Lu -0.959 -1.805 -0.129
```

---

Record 10
BiRuCl3 | PBE | relaxed

Spin magnetization ... 3.06 μB/f.u.
Relative energy among the computed polymorphs ... 11.65 kcal/mol of atoms
Formation energy from raw total energies ... 57 kJ/mol of atoms
E ... -3.148 eV per atom

extended XYZ file:
```
5
Lattice="-4.894 -2.432 0.620 2.229 -3.586 3.524 -1.154 3.387 4.176" Properties=species:S:1:pos:R:3 pbc="T T T"
Ru -1.910 -1.316 4.160
Bi 0.000 0.000 0.000
Cl 1.114 -1.793 1.762
Cl -0.577 1.693 2.088
Cl -2.447 -1.216 0.310
```

---

Record 11
ZrCr2TcS | PBE | relaxed

Spin magnetization ... 7.44 μB/f.u.
Formation energy from raw total energies ... 171 kJ/mol of atoms
E ... -6.684 eV per atom

extended XYZ file:
```
5
Lattice="4.761 0.000 0.000 0.000 4.718 0.000 0.000 0.000 4.761" Properties=species:S:1:pos:R:3 pbc="T T T"
Cr 0.000 0.000 2.380
Cr 2.380 0.000 0.000
S 0.000 2.359 0.000
Tc 2.380 2.359 2.380
Zr 0.000 0.000 0.000
```

---

Record 12
CdFeBr2 | PBE | relaxed

Spin magnetization ... 3.24 μB/f.u.
Relative energy among the computed polymorphs ... 3.86 kcal/mol of atoms
Formation energy from raw total energies ... 5 kJ/mol of atoms
E ... -3.131 eV per atom

extended XYZ file:
```
4
Lattice="3.355 0.000 0.000 0.000 3.355 0.000 0.000 0.000 8.546" Properties=species:S:1:pos:R:3 pbc="T T T"
Br 0.000 0.000 7.789
Br 1.678 1.678 2.686
Cd 0.000 0.000 4.449
Fe 1.678 1.678 6.439
```

---

Question: Number 4 is which compound?
Answer: Ce2ErGe3Pd4

---

Question: Which value of spin magnetization does entry 2 give?
Answer: 0.59 μB/f.u.